[1]
! TlCd2Hg | Alexandria | PBE | optimized geometry; values from VASP
&SYSTEM
  ibrav = 0, nat = 4, ntyp = 3
/
ATOMIC_SPECIES
Tl 204.38 Tl.upf
Cd 112.41 Cd.upf
Hg 200.59 Hg.upf
CELL_PARAMETERS angstrom
0.0000 3.7344 3.7344
3.7344 0.0000 3.7344
3.7344 3.7344 0.0000
ATOMIC_POSITIONS angstrom
Tl 0.0000 0.0000 0.0000
Cd 1.8672 1.8672 1.8672
Cd 5.6016 5.6016 5.6016
Hg 3.7344 3.7344 3.7344
! **Energy of formation from the pure elements**: 0.05 eV/atom
! **Calculated volume**: 104.2 Å³ per cell
! **Total magnetization**: 0.000 μB per atom
! **Final energy**: -0.0787 Ry/atom
! **D(E_F)**: 2.0 states/eV/cell
! **Energy relative to the lowest polymorph listed for this composition**: 0.034 eV per atom
! **SG**: Fm-3m (225)


[2]
! Tl5Cd2Hg12 | Alexandria | PBE | optimized geometry; values from VASP
&SYSTEM
  ibrav = 0, nat = 19, ntyp = 3
/
ATOMIC_SPECIES
Tl 204.38 Tl.upf
Cd 112.41 Cd.upf
Hg 200.59 Hg.upf
CELL_PARAMETERS angstrom
11.4807 -4.4737 0.0000
11.4807 4.4737 0.0000
-1.1434 0.0000 5.2034
ATOMIC_POSITIONS angstrom
Tl 0.0000 0.0000 0.0000
Tl 3.9585 0.0000 0.9276
Tl 5.9083 0.0000 4.2013
Tl 15.9098 0.0000 1.0021
Tl 17.8596 0.0000 4.2758
Cd 10.9091 2.2276 2.6017
Cd 10.9091 -2.2276 2.6017
Hg 6.6100 2.1211 1.6110
Hg 1.5306 0.0000 3.1075
Hg 8.5265 1.8430 4.7881
Hg 13.2916 1.8430 0.4154
Hg 8.9312 0.0000 2.1333
Hg 15.2082 2.1211 3.5924
Hg 6.6100 -2.1211 1.6110
Hg 12.8869 0.0000 3.0701
Hg 8.5265 -1.8430 4.7881
Hg 13.2916 -1.8430 0.4154
Hg 20.2875 0.0000 2.0959
Hg 15.2082 -2.1211 3.5924
! **Energy of formation from the pure elements**: 0.00 eV/atom
! **Calculated volume**: 534.5 Å³ per cell
! **Total magnetization**: 0.000 μB per atom
! **Final energy**: -0.0671 Ry/atom
! **D(E_F)**: 4.9 states/eV/cell
! **Energy relative to the lowest polymorph listed for this composition**: 0.000 eV per atom
! **SG**: C2/m (12)


[3]
! Tl3CdHg8 | Alexandria | PBE | optimized geometry; values from VASP
&SYSTEM
  ibrav = 0, nat = 12, ntyp = 3
/
ATOMIC_SPECIES
Tl 204.38 Tl.upf
Cd 112.41 Cd.upf
Hg 200.59 Hg.upf
CELL_PARAMETERS angstrom
3.1023 1.7911 10.2102
-3.1023 1.7911 10.2102
0.0000 -3.5822 10.2102
ATOMIC_POSITIONS angstrom
Tl 0.0000 0.0000 0.0000
Tl 0.0000 0.0000 3.8893
Tl 0.0000 0.0000 19.0408
Cd 0.0000 0.0000 15.2530
Hg 0.0000 -1.7919 6.9934
Hg -1.5519 0.8960 6.9934
Hg -1.5512 -0.8956 12.1291
Hg 0.0000 0.0000 9.5576
Hg 1.5519 0.8960 6.9934
Hg 1.5512 -0.8956 12.1291
Hg 0.0000 1.7912 12.1291
Hg 0.0000 0.0000 24.8833
! **Energy of formation from the pure elements**: 0.04 eV/atom
! **Calculated volume**: 340.4 Å³ per cell
! **Total magnetization**: 0.000 μB per atom
! **Final energy**: -0.0607 Ry/atom
! **D(E_F)**: 5.3 states/eV/cell
! **Energy relative to the lowest polymorph listed for this composition**: 0.053 eV per atom
! **SG**: R3m (160)


[4]
! Tl3CdHg4 | Alexandria | PBE | optimized geometry; values from VASP
&SYSTEM
  ibrav = 0, nat = 8, ntyp = 3
/
ATOMIC_SPECIES
Tl 204.38 Tl.upf
Cd 112.41 Cd.upf
Hg 200.59 Hg.upf
CELL_PARAMETERS angstrom
3.5886 0.0000 0.0000
0.0000 3.5886 0.0000
0.0000 0.0000 17.3071
ATOMIC_POSITIONS angstrom
Tl 0.0000 0.0000 0.0000
Tl 0.0000 0.0000 4.4784
Tl 0.0000 0.0000 12.8287
Cd 0.0000 0.0000 8.6536
Hg 1.7943 1.7943 2.2387
Hg 1.7943 1.7943 6.7222
Hg 1.7943 1.7943 10.5849
Hg 1.7943 1.7943 15.0684
! **Energy of formation from the pure elements**: -0.01 eV/atom
! **Calculated volume**: 222.9 Å³ per cell
! **Total magnetization**: 0.000 μB per atom
! **Final energy**: -0.0852 Ry/atom
! **D(E_F)**: 3.3 states/eV/cell
! **Energy relative to the lowest polymorph listed for this composition**: 0.000 eV per atom
! **SG**: P4/mmm (123)


[5]
! Tl8Cd2Hg3 | Alexandria | PBE | optimized geometry; values from VASP
&SYSTEM
  ibrav = 0, nat = 13, ntyp = 3
/
ATOMIC_SPECIES
Tl 204.38 Tl.upf
Cd 112.41 Cd.upf
Hg 200.59 Hg.upf
CELL_PARAMETERS angstrom
9.1040 0.0000 0.0000
0.0000 5.1853 0.0000
-3.1473 0.0000 8.6293
ATOMIC_POSITIONS angstrom
Tl -0.1549 0.0000 3.1940
Tl -1.6007 2.5926 7.5823
Tl 2.9843 0.0000 0.9613
Tl 1.3792 2.5926 5.4544
Tl 4.5774 2.5926 3.1749
Tl 2.9723 0.0000 7.6681
Tl 7.5574 2.5926 1.0470
Tl 6.1115 0.0000 5.4353
Cd -0.0423 0.0000 6.4690
Cd 5.9989 0.0000 2.1603
Hg 1.4408 2.5926 2.1476
Hg 2.9783 0.0000 4.3147
Hg 4.5158 2.5926 6.4817
! **Energy of formation from the pure elements**: 0.05 eV/atom
! **Calculated volume**: 407.4 Å³ per cell
! **Total magnetization**: 0.000 μB per atom
! **Final energy**: -0.1187 Ry/atom
! **D(E_F)**: 4.0 states/eV/cell
! **Energy relative to the lowest polymorph listed for this composition**: 0.000 eV per atom
! **SG**: P2/m (10)


[6]
! Tl8CdHg6 | Alexandria | PBE | optimized geometry; values from VASP
&SYSTEM
  ibrav = 0, nat = 15, ntyp = 3
/
ATOMIC_SPECIES
Tl 204.38 Tl.upf
Cd 112.41 Cd.upf
Hg 200.59 Hg.upf
CELL_PARAMETERS angstrom
4.4186 2.5511 6.8930
-4.4186 2.5511 6.8930
0.0000 -5.1021 6.8930
ATOMIC_POSITIONS angstrom
Tl -3.0989 -0.0621 7.9195
Tl 0.0000 0.0000 3.5548
Tl -1.4957 -2.7148 12.7595
Tl 1.6032 -2.6527 7.9195
Tl -1.6032 2.6527 12.7595
Tl 1.4957 2.7148 7.9195
Tl 0.0000 0.0000 17.1243
Tl 3.0989 0.0621 12.7595
Cd 0.0000 0.0000 10.3395
Hg -1.3231 -2.4504 9.1196
Hg -2.7836 -0.0794 11.5594
Hg -1.4605 2.3710 9.1196
Hg 1.4605 -2.3710 11.5595
Hg 2.7836 0.0793 9.1196
Hg 1.3231 2.4504 11.5595
! **Energy of formation from the pure elements**: 0.02 eV/atom
! **Calculated volume**: 466.2 Å³ per cell
! **Total magnetization**: 0.000 μB per atom
! **Final energy**: -0.1048 Ry/atom
! **D(E_F)**: 3.8 states/eV/cell
! **Energy relative to the lowest polymorph listed for this composition**: 0.000 eV per atom
! **SG**: R-3 (148)